# 1
The following is a PBE calculation of a relaxed structure of EuDyHo, from the Alexandria database.

Lattice parameters (Å, degrees): 3.6244 3.6244 8.8875 90.00 90.00 120.00
Fractional coordinates of all 3 atoms:
Eu 0.0000 0.0000 0.0000
Dy 0.3333 0.6667 0.6539
Ho 0.6667 0.3333 0.3444

- DOS at the Fermi energy (states/eV/cell) = 3.53
- total magnetic moment (μB per formula unit) = 7.3
- calculated total energy (eV per atom) = -6.426

***

# 2
The following is a PBE calculation of a relaxed structure of BaLi2Os, from the Alexandria database.

Lattice parameters (Å, degrees): 5.0572 5.0572 5.9946 94.93 94.93 33.77
Fractional coordinates of all 4 atoms:
Ba 0.0000 0.0000 0.0000
Li 0.2332 0.2332 0.6632
Li 0.7668 0.7668 0.3368
Os 0.5000 0.5000 0.5000

- DOS at the Fermi energy (states/eV/cell) = 3.71
- total magnetic moment (μB per formula unit) = 0.2
- calculated total energy (eV per atom) = -3.643

***

# 3
The following is a PBE calculation of a relaxed structure of Ba2SrTlH, from the Alexandria database.

Lattice parameters (Å, degrees): 5.5945 5.5945 5.5157 90.00 90.00 90.00
Fractional coordinates of all 5 atoms:
Ba 0.0000 0.5000 0.0000
Ba 0.5000 0.0000 0.0000
Sr 0.0000 0.0000 0.5000
Tl 0.5000 0.5000 0.5000
H 0.0000 0.0000 0.0000

- DOS at the Fermi energy (states/eV/cell) = 3.82
- total magnetic moment (μB per formula unit) = 0.0
- calculated total energy (eV per atom) = -2.520

***

| no. | calculated volume (Å³/atom) |
| --- | --- |
| 1 | 33.70 |
| 2 | 21.22 |
| 3 | 34.53 |